Entry 1:
ScTi: relaxed, PBE.

abc: 3.097 4.823 5.475
angles: 90.00 90.00 90.00
Sites, in units of the cell vectors:
Sc (0.750, 0.250, 0.900)
Sc (0.250, 0.750, 0.100)
Ti (0.750, 0.750, 0.576)
Ti (0.250, 0.250, 0.424)

Properties
crystal system: orthorhombic
excess energy over the best structure of this formula in the dataset: 0.000 eV per atom
calculated density: 3.77 g/cm3
calculated formation energy: 0.085 eV/atom
calculated volume: 81.8 Å³ per cell
space-group type: Pmmn

***

Entry 2:
SbW3: relaxed, PBE.

abc: 5.354 5.354 5.354
angles: 116.85 116.85 116.85
Sites, in units of the cell vectors:
W (0.000, 0.500, 0.500)
W (0.500, 0.000, 0.500)
W (0.500, 0.500, 0.000)
Sb (0.000, 0.000, 0.000)

Properties
raw formation energy: 0.675 eV/atom
crystal system: trigonal
excess energy over the best structure of this formula in the dataset: 0.196 eV per atom
calculated density: 16.14 g/cm3
calculated volume: 69.3 Å³ per cell
space-group type: R-3m

***

Entry 3:
CaIn2P: relaxed, PBE.

abc: 4.757 4.858 4.859
angles: 72.19 90.00 90.00
Sites, in units of the cell vectors:
Ca (0.500, 0.750, 0.750)
In (0.000, 0.443, 0.443)
In (0.000, 0.057, 0.057)
P (0.500, 0.250, 0.250)

Properties
crystal system: orthorhombic
calculated density: 4.67 g/cm3
calculated formation energy: -0.324 eV/atom
calculated volume: 106.9 Å³ per cell
space-group type: Cmmm

***

Entry 4:
AgH3Pd4: relaxed, PBE.

abc: 5.031 7.085 5.625
angles: 106.36 90.00 110.80
Sites, in units of the cell vectors:
H (0.079, 0.918, 0.847)
H (0.519, 0.633, 0.646)
H (0.517, 0.274, 0.852)
H (0.114, 0.633, 0.146)
H (0.757, 0.274, 0.352)
H (0.839, 0.918, 0.347)
Pd (0.977, 0.784, 0.518)
Pd (0.614, 0.399, 0.617)
Pd (0.168, 0.195, 0.931)
Pd (0.208, 0.586, 0.818)
Pd (0.378, 0.586, 0.318)
Pd (0.785, 0.399, 0.117)
Pd (0.807, 0.784, 0.018)
Pd (0.026, 0.195, 0.431)
Ag (0.410, 0.990, 0.220)
Ag (0.579, 0.990, 0.720)

Properties
total energy: -4.267 eV per atom
crystal system: monoclinic
calculated density: 9.97 g/cm3
calculated volume: 178.7 Å³ per cell
space-group type: Cc